Material: NaHoIn2I6
Method: DFT, PBE-GGA
State: relaxed

Values from the calculation:
**Symmetry**: Fm-3m, No. 225
**Total magnetization**: 0.00 Bohr magnetons per cell
**Uncorrected energy**: -2.952 eV per atom

Cell: 8.5512 8.5512 8.5512 Å, 60.00 60.00 60.00°
Last column: nearest neighbours and their distance in Å.
Fractional coordinates of all 10 atoms:
1 Na 0.0000 0.0000 0.0000  6 I 3.06
2 Ho 0.5000 0.5000 0.5000  6 I 2.99
3 In 0.2500 0.2500 0.2500  12 I 4.28
4 In 0.7500 0.7500 0.7500  12 I 4.28
5 I 0.2531 0.2531 0.7469  1 Ho 2.99, 1 Na 3.06
6 I 0.2531 0.7469 0.2531  1 Ho 2.99, 1 Na 3.06
7 I 0.2531 0.7469 0.7469  1 Ho 2.99, 1 Na 3.06
8 I 0.7469 0.2531 0.2531  1 Ho 2.99, 1 Na 3.06
9 I 0.7469 0.2531 0.7469  1 Ho 2.99, 1 Na 3.06
10 I 0.7469 0.7469 0.2531  1 Ho 2.99, 1 Na 3.06

***

Material: HoSbMoI2
Method: DFT, PBE-GGA
State: relaxed

Values from the calculation:
**Symmetry**: P3m1, No. 156
**Total magnetization**: 2.00 Bohr magnetons per cell
**Uncorrected energy**: -4.976 eV per atom

Cell: 4.2361 4.2361 10.2326 Å, 90.00 90.00 120.00°
Last column: nearest neighbours and their distance in Å.
Fractional coordinates of all 5 atoms:
1 Ho 0.0000 0.0000 0.0000  3 Sb 2.98, 3 I 3.14
2 Sb 0.3333 0.6667 0.8342  3 Mo 2.73, 3 Ho 2.98
3 Mo 0.6667 0.3333 0.7166  3 Sb 2.73, 3 I 2.98
4 I 0.0000 0.0000 0.5511  3 Mo 2.98
5 I 0.6667 0.3333 0.1928  3 Ho 3.14

***

Material: Nd2Ho2I5N
Method: DFT, PBE-GGA
State: relaxed

Values from the calculation:
**Symmetry**: C2/m, No. 12
**Total magnetization**: 0.00 Bohr magnetons per cell
**Uncorrected energy**: -4.764 eV per atom

Cell: 9.8863 9.8863 8.7366 Å, 102.28 102.28 23.24°
Last column: nearest neighbours and their distance in Å.
Fractional coordinates of all 10 atoms:
1 Nd 0.0006 0.0006 0.3061  2 N 2.62
2 Nd 0.9994 0.9994 0.6939  2 N 2.62
3 Ho 0.3775 0.3775 0.4399  1 N 2.32
4 Ho 0.6225 0.6225 0.5601  1 N 2.32
5 I 0.1660 0.1660 0.8292  2 Ho 3.06, 1 Nd 3.19
6 I 0.1686 0.1686 0.3337  2 Ho 3.07, 1 Nd 3.21
7 I 0.5000 0.5000 0.0000  4 Nd 3.33
8 I 0.8314 0.8314 0.6663  2 Ho 3.07, 1 Nd 3.21
9 I 0.8340 0.8340 0.1708  2 Ho 3.06, 1 Nd 3.19
10 N 0.5000 0.5000 0.5000  2 Ho 2.32

***

Material: Sm2Ho2I5N
Method: DFT, PBE-GGA
State: relaxed

Values from the calculation:
**Symmetry**: C2/m, No. 12
**Total magnetization**: 0.00 Bohr magnetons per cell
**Uncorrected energy**: -4.747 eV per atom

Cell: 9.8364 9.8364 8.6501 Å, 102.24 102.24 23.14°
Last column: nearest neighbours and their distance in Å.
Fractional coordinates of all 10 atoms:
1 Sm 0.0007 0.0007 0.3083  2 N 2.58
2 Sm 0.9993 0.9993 0.6917  2 N 2.58
3 Ho 0.3772 0.3772 0.4395  1 N 2.31
4 Ho 0.6228 0.6228 0.5605  1 N 2.31
5 I 0.1643 0.1643 0.8320  2 Ho 3.04, 1 Sm 3.15
6 I 0.1674 0.1674 0.3301  2 Ho 3.06, 1 Sm 3.18
7 I 0.5000 0.5000 0.0000  4 Sm 3.32
8 I 0.8326 0.8326 0.6699  2 Ho 3.06, 1 Sm 3.18
9 I 0.8357 0.8357 0.1680  2 Ho 3.04, 1 Sm 3.15
10 N 0.5000 0.5000 0.5000  2 Ho 2.31, 4 Sm 2.58

***

Material: Ho2Tm2I5N
Method: DFT, PBE-GGA
State: relaxed

Values from the calculation:
**Symmetry**: C2/m, No. 12
**Total magnetization**: 0.00 Bohr magnetons per cell
**Uncorrected energy**: -4.639 eV per atom

Cell: 9.7849 9.7849 8.4692 Å, 102.17 102.17 22.87°
Last column: nearest neighbours and their distance in Å.
Fractional coordinates of all 10 atoms:
1 Ho 0.9996 0.9996 0.1879  2 N 2.51
2 Ho 0.0004 0.0004 0.8121  2 N 2.51
3 Tm 0.3786 0.3786 0.9402  1 N 2.27
4 Tm 0.6214 0.6214 0.0598  1 N 2.27
5 I 0.1613 0.1613 0.3352  2 Tm 3.00, 1 Ho 3.08
6 I 0.1638 0.1638 0.8242  2 Tm 3.02, 1 Ho 3.11
7 I 0.5000 0.5000 0.5000  4 Ho 3.28
8 I 0.8362 0.8362 0.1758  2 Tm 3.02, 1 Ho 3.11
9 I 0.8387 0.8387 0.6648  2 Tm 3.00, 1 Ho 3.08
10 N 0.5000 0.5000 0.0000  2 Tm 2.27, 4 Ho 2.51

***

Material: NaHoTl2I6
Method: DFT, PBE-GGA
State: relaxed

Values from the calculation:
**Symmetry**: Fm-3m, No. 225
**Total magnetization**: 0.00 Bohr magnetons per cell
**Uncorrected energy**: -2.976 eV per atom

Cell: 8.5668 8.5668 8.5668 Å, 60.00 60.00 60.00°
Last column: nearest neighbours and their distance in Å.
Fractional coordinates of all 10 atoms:
1 Na 0.0000 0.0000 0.0000  6 I 3.07
2 Ho 0.5000 0.5000 0.5000  6 I 2.99
3 Tl 0.2500 0.2500 0.2500  12 I 4.28
4 Tl 0.7500 0.7500 0.7500  12 I 4.28
5 I 0.2532 0.2532 0.7468  1 Ho 2.99, 1 Na 3.07
6 I 0.2532 0.7468 0.2532  1 Ho 2.99, 1 Na 3.07
7 I 0.2532 0.7468 0.7468  1 Ho 2.99, 1 Na 3.07
8 I 0.7468 0.2532 0.2532  1 Ho 2.99, 1 Na 3.07
9 I 0.7468 0.2532 0.7468  1 Ho 2.99, 1 Na 3.07
10 I 0.7468 0.7468 0.2532  1 Ho 2.99, 1 Na 3.07

***

Material: Ho4NiI5
Method: DFT, PBE-GGA
State: relaxed

Values from the calculation:
**Symmetry**: C2/m, No. 12
**Total magnetization**: 0.02 Bohr magnetons per cell
**Uncorrected energy**: -4.207 eV per atom

Cell: 9.8796 9.8796 8.8143 Å, 102.21 102.21 23.71°
Last column: nearest neighbours and their distance in Å.
Fractional coordinates of all 10 atoms:
1 Ho 0.0000 0.0000 0.1982  2 Ni 2.68
2 Ho 0.0000 0.0000 0.8018  2 Ni 2.68
3 Ho 0.3609 0.3609 0.9284  1 Ni 2.63
4 Ho 0.6391 0.6391 0.0716  1 Ni 2.63
5 Ni 0.5000 0.5000 0.0000  6 Ho 2.63-2.68
6 I 0.1676 0.1676 0.3437  3 Ho 3.10-3.22
7 I 0.1771 0.1771 0.8300  4 Ho 3.14-3.47
8 I 0.5000 0.5000 0.5000  4 Ho 3.35
9 I 0.8229 0.8229 0.1700  4 Ho 3.14-3.47
10 I 0.8324 0.8324 0.6563  3 Ho 3.10-3.22

***

Material: SmHoNi2I2
Method: DFT, PBE-GGA
State: relaxed

Values from the calculation:
**Symmetry**: P3m1, No. 156
**Total magnetization**: 0.16 Bohr magnetons per cell
**Uncorrected energy**: -4.796 eV per atom

Cell: 4.0920 4.0920 12.0746 Å, 90.00 90.00 120.00°
Last column: nearest neighbours and their distance in Å.
Fractional coordinates of all 6 atoms:
1 Sm 0.0000 0.0000 0.0000  6 Ni 2.95-3.04, 3 I 3.21
2 Ho 0.0000 0.0000 0.6981  6 Ni 2.93-3.02, 3 I 3.20
3 Ni 0.3333 0.6667 0.8533  3 Ni 2.37
4 Ni 0.6667 0.3333 0.8418  3 Ni 2.37
5 I 0.3333 0.6667 0.5191  3 Ho 3.20
6 I 0.6667 0.3333 0.1803  3 Sm 3.21

***

Number 8 is which compound?
SmHoNi2I2